Record 1
VASP calculation (PBE-GGA) on a relaxed AgP2CS crystal.

Calculated values
formation energy (no corrections)	1.18	eV per atom
VASP energy	-4.2207	eV per atom
distance to the lowest polymorph of the same formula	0	meV per atom
space-group type	P4/mmm
size of the total moment	0.00	Bohr magnetons per cell

Unit cell a=4.1187 b=4.1187 c=4.2401 alpha=90.00 beta=90.00 gamma=90.00
Fractional positions:
P 0.5000 0.0000 0.0000
P 0.0000 0.5000 0.0000
S 0.0000 0.0000 0.5000
Ag 0.5000 0.5000 0.5000
C 0.0000 0.0000 0.0000

Record 2
VASP calculation (PBE-GGA) on a relaxed TlSbI3 crystal.

Calculated values
formation energy (no corrections)	-0.27	eV per atom
VASP energy	-2.5017	eV per atom
distance to the lowest polymorph of the same formula	87	meV per atom
space-group type	Pm-3m
size of the total moment	0.00	Bohr magnetons per cell

Unit cell a=6.1325 b=6.1325 c=6.1325 alpha=90.00 beta=90.00 gamma=90.00
Fractional positions:
Sb 0.0000 0.0000 0.0000
I 0.0000 0.5000 0.0000
I 0.0000 0.0000 0.5000
I 0.5000 0.0000 0.0000
Tl 0.5000 0.5000 0.5000

Record 3
VASP calculation (PBE-GGA) on a relaxed Fe2AgIr crystal.

Calculated values
VASP energy	-6.8491	eV per atom
space-group type	I-4m2
size of the total moment	6.50	Bohr magnetons per cell

Unit cell a=4.7739 b=4.7739 c=4.7739 alpha=133.10 beta=133.10 gamma=68.50
Last column: magnetic moment on the atom in μB.
Fractional positions:
Fe 0.0000 0.0000 0.0000  2.91
Fe 0.2500 0.7500 0.5000  2.87
Ir 0.5000 0.5000 0.0000  0.67
Ag 0.7500 0.2500 0.5000  0.07

Record 4
VASP calculation (PBE-GGA) on a relaxed ScCu2Os crystal.

Calculated values
VASP energy	-6.4405	eV per atom
distance to the lowest polymorph of the same formula	55	meV per atom
space-group type	P4mm
size of the total moment	0.00	Bohr magnetons per cell

Unit cell a=3.2187 b=3.2187 c=5.7090 alpha=90.00 beta=90.00 gamma=90.00
Fractional positions:
Cu 0.5000 0.5000 0.2418
Cu 0.0000 0.0000 0.0304
Os 0.0000 0.0000 0.4826
Sc 0.5000 0.5000 0.7452

Record 5
VASP calculation (PBE-GGA) on a relaxed SrAs2NO crystal.

Calculated values
formation energy (no corrections)	1.44	eV per atom
VASP energy	-3.4083	eV per atom
space-group type	P4/mmm
size of the total moment	3.00	Bohr magnetons per cell

Unit cell a=6.5044 b=4.4577 c=6.5044 alpha=90.00 beta=90.00 gamma=90.00
Last column: magnetic moment on the atom in μB.
Fractional positions:
As 0.5000 0.0000 0.0000  -1.05
As 0.0000 0.0000 0.5000  -1.13
O 0.0000 0.5000 0.0000  -0.56
N 0.5000 0.5000 0.5000  1.83
Sr 0.0000 0.0000 0.0000  -0.08

Record 6
VASP calculation (PBE-GGA) on a relaxed La2Te3Au crystal.

Calculated values
formation energy (no corrections)	-1.27	eV per atom
VASP energy	-5.0324	eV per atom
space-group type	Pnma
size of the total moment	0.00	Bohr magnetons per cell

Unit cell a=4.5029 b=12.5169 c=13.2859 alpha=90.00 beta=90.00 gamma=90.00
Fractional positions:
Te 0.2500 0.0621 0.8804
Te 0.7500 0.9379 0.1196
Te 0.2500 0.4379 0.3804
Te 0.2500 0.1210 0.5462
Te 0.7500 0.5621 0.6196
Te 0.2500 0.3790 0.0462
Te 0.2500 0.6797 0.1947
Te 0.2500 0.8203 0.6947
Te 0.7500 0.8790 0.4538
Te 0.7500 0.1797 0.3053
Te 0.7500 0.6210 0.9538
Te 0.7500 0.3203 0.8053
Au 0.2500 0.2957 0.6830
Au 0.7500 0.7957 0.8170
Au 0.7500 0.7043 0.3170
Au 0.2500 0.2043 0.1830
La 0.7500 0.3202 0.5198
La 0.7500 0.4822 0.2059
La 0.7500 0.0178 0.7059
La 0.2500 0.6798 0.4802
La 0.2500 0.8202 0.9802
La 0.7500 0.1798 0.0198
La 0.2500 0.5178 0.7941
La 0.2500 0.9822 0.2941